(P)
DFT (GGA-PBE) results for a geometry-optimized ReTcRh2 structure.

The theoretical density is 14114 kg/m³.

It has space group C2/m (No. 12), with a = 9.121 Å, b = 2.721 Å, c = 4.714 Å, α = 90.00°, β = 99.69° and γ = 90.00°. The inequivalent atoms are Re at (0.000, 0.000, 0.000), Tc at (0.000, 0.500, 0.500) and Rh at (0.250, 0.000, 0.750).

***

(Q)
DFT (GGA-PBE) results for a geometry-optimized ReTcRh2 structure.

The theoretical density is 14165 kg/m³.

It has space group I4/mmm (No. 139), with a = 3.815 Å, b = 3.815 Å, c = 7.892 Å, α = 90.00°, β = 90.00° and γ = 90.00°. The inequivalent atoms are Re at (0.000, 0.000, 0.000), Tc at (0.000, 0.000, 0.500) and Rh at (0.000, 0.500, 0.250).

***

Most stable: (Q)

***

(P)
DFT (GGA-PBE) results for a geometry-optimized ReTc2Rh structure.

The theoretical density is 13624 kg/m³.

It has space group P4/mmm (No. 123), with a = 3.243 Å, b = 3.243 Å, c = 5.623 Å, α = 90.00°, β = 90.00° and γ = 90.00°. The inequivalent atoms are Re at (0.000, 0.000, 0.000), Tc at (0.500, 0.500, 0.255) and Rh at (0.000, 0.000, 0.500).

***

(Q)
DFT (GGA-PBE) results for a geometry-optimized ReTc2Rh structure.

The theoretical density is 13805 kg/m³.

It has space group P4/mmm (No. 123), with a = 2.738 Å, b = 2.738 Å, c = 7.784 Å, α = 90.00°, β = 90.00° and γ = 90.00°. The inequivalent atoms are Re at (0.000, 0.000, 0.000), Tc at (0.500, 0.500, 0.249) and Rh at (0.000, 0.000, 0.500).

***

Most stable: (Q)

***

(P)
DFT (GGA-PBE) results for a geometry-optimized ReTc2Rh structure.

The theoretical density is 13832 kg/m³.

It has space group Cm (No. 8), with a = 9.119 Å, b = 2.725 Å, c = 4.758 Å, α = 90.00°, β = 99.82° and γ = 90.00°. The inequivalent atoms are Re at (0.000, 0.000, 0.000), Tc at (0.250, 0.500, 0.253), Tc at (0.499, 0.000, 0.495) and Rh at (0.251, 0.000, 0.753).

***

(Q)
DFT (GGA-PBE) results for a geometry-optimized ReTc2Rh structure.

The theoretical density is 13865 kg/m³.

It has space group I-4m2 (No. 119), with a = 3.888 Å, b = 3.888 Å, c = 7.687 Å, α = 90.00°, β = 90.00° and γ = 90.00°. The inequivalent atoms are Re at (0.000, 0.000, 0.000), Tc at (0.000, 0.000, 0.500), Tc at (0.000, 0.500, 0.750) and Rh at (0.000, 0.500, 0.250).

***

Most stable: (Q)